(1)
An optimized crystal structure of MnAlZnCr, computed with GGA-PBE.

Cell: 4.2109 4.2109 4.2109 Å, 60.00 60.00 60.00°
With the nearest neighbours (Å) after each atom.
Fractional coordinates of all 4 atoms:
Cr (0.7500, 0.7500, 0.7500)  4 Mn 2.58, 4 Zn 2.58
Zn (0.5000, 0.5000, 0.5000)  4 Cr 2.58, 4 Al 2.58
Mn (0.0000, 0.0000, 0.0000)  4 Al 2.58, 4 Cr 2.58
Al (0.2500, 0.2500, 0.2500)  4 Zn 2.58, 4 Mn 2.58

Values from the calculation:
- E_tot (eV/atom) = -6.0094
- total magnetization (μB/atom) = 0.01
- crystal system = cubic

---

(2)
An optimized crystal structure of Hf4HgSb, computed with GGA-PBE.

Cell: 5.9978 5.9932 9.1229 Å, 100.34 100.36 116.95°
With the nearest neighbours (Å) after each atom.
Fractional coordinates of all 12 atoms:
Hf (0.9717, 0.2190, 0.9428)  2 Sb 3.03-3.06, 2 Hg 3.05-3.07, 7 Hf 3.12-3.30
Hf (0.4710, 0.7237, 0.9428)  2 Sb 3.03-3.06, 2 Hg 3.05-3.07, 7 Hf 3.12-3.30
Hf (0.2757, 0.5285, 0.5574)  2 Sb 3.03-3.06, 2 Hg 3.05-3.07, 7 Hf 3.11-3.30
Hf (0.7243, 0.4715, 0.4426)  2 Sb 3.03-3.06, 2 Hg 3.05-3.07, 7 Hf 3.11-3.30
Hf (0.2183, 0.9711, 0.4426)  2 Sb 3.03-3.06, 2 Hg 3.05-3.07, 7 Hf 3.11-3.30
Hf (0.5290, 0.2763, 0.0572)  2 Sb 3.03-3.06, 2 Hg 3.05-3.07, 7 Hf 3.12-3.30
Hf (0.7817, 0.0289, 0.5574)  2 Sb 3.03-3.06, 2 Hg 3.05-3.07, 7 Hf 3.11-3.30
Hf (0.0283, 0.7810, 0.0572)  2 Sb 3.03-3.06, 2 Hg 3.05-3.07, 7 Hf 3.12-3.30
Hg (0.3751, 0.6251, 0.2501)  8 Hf 3.05-3.07, 2 Sb 3.13
Hg (0.6249, 0.3749, 0.7499)  8 Hf 3.05-3.07, 2 Sb 3.13
Sb (0.1250, 0.8750, 0.7500)  8 Hf 3.03-3.06, 2 Hg 3.13
Sb (0.8750, 0.1250, 0.2500)  8 Hf 3.03-3.06, 2 Hg 3.13

Values from the calculation:
- total magnetization (μB/atom) = 0.00
- crystal system = orthorhombic
- formation energy (no corrections) (meV per atom) = 144.5

---

(3)
An optimized crystal structure of SrB2Pd, computed with GGA-PBE.

Cell: 4.5856 4.5856 7.5299 Å, 72.27 72.27 90.00°
With the nearest neighbours (Å) after each atom.
Fractional coordinates of all 8 atoms:
Sr (0.5000, 0.5000, 0.0000)  8 B 3.08, 4 Pd 3.24
Sr (0.2500, 0.7500, 0.5000)  8 B 3.08, 4 Pd 3.24
B (0.8750, 0.1250, 0.2500)  2 Pd 2.05, 2 B 2.29
B (0.8750, 0.6250, 0.2500)  2 Pd 2.05, 2 B 2.29
B (0.3750, 0.1250, 0.7500)  2 Pd 2.05, 2 B 2.29
B (0.8750, 0.1250, 0.7500)  2 Pd 2.05, 2 B 2.29
Pd (0.0000, 0.0000, 0.0000)  4 B 2.05
Pd (0.7500, 0.2500, 0.5000)  4 B 2.05

Values from the calculation:
- offset from the most stable computed form (meV/atom) = 0.0
- total magnetization (μB/atom) = 0.00
- crystal system = tetragonal